VASP calculation (SCAN) on a PBEsol-optimized structure of Zr4AlCd.

```
data_Zr4AlCd
_chemical_formula_sum 'Zr16 Al4 Cd4'
_cell_length_a 7.9730
_cell_length_b 7.9730
_cell_length_c 7.9730
_cell_angle_alpha 90.00
_cell_angle_beta 90.00
_cell_angle_gamma 90.00
_symmetry_space_group_name_H-M 'F -4 3 m'
_symmetry_Int_Tables_number 216
_symmetry_space_group_name_Hall 'F -4 2 3'
loop_
_atom_site_label
_atom_site_fract_x
_atom_site_fract_y
_atom_site_fract_z
Zr1 0.1241 0.1241 0.1241
Al1 0.2500 0.2500 0.7500
Cd1 0.0000 0.0000 0.5000
```

Values from the calculation:
**ρ**: 6609 kg/m3
**Formation energy from the elements**: 0.28 eV per atom
**Total magnetization**: 0.000 μB/atom


VASP calculation (SCAN) on a PBEsol-optimized structure of SbP2Rh.

```
data_SbP2Rh
_chemical_formula_sum 'Sb1 P2 Rh1'
_cell_length_a 4.5759
_cell_length_b 4.5759
_cell_length_c 3.0679
_cell_angle_alpha 90.00
_cell_angle_beta 90.00
_cell_angle_gamma 90.00
_symmetry_space_group_name_H-M 'P 4/m m m'
_symmetry_Int_Tables_number 123
_symmetry_space_group_name_Hall '-P 4 2'
loop_
_atom_site_label
_atom_site_fract_x
_atom_site_fract_y
_atom_site_fract_z
Sb1 0.0000 0.0000 0.0000
P1 0.0000 0.5000 0.5000
Rh1 0.5000 0.5000 0.0000
```

Values from the calculation:
**Raw formation energy**: 0.54 eV/atom
**ρ**: 7409 kg/m3
**Total magnetization**: 0.000 μB/atom


VASP calculation (SCAN) on a PBEsol-optimized structure of KLaCl.

```
data_KLaCl
_chemical_formula_sum 'K4 La4 Cl4'
_cell_length_a 7.5511
_cell_length_b 7.5511
_cell_length_c 7.5511
_cell_angle_alpha 90.00
_cell_angle_beta 90.00
_cell_angle_gamma 90.00
_symmetry_space_group_name_H-M 'F -4 3 m'
_symmetry_Int_Tables_number 216
_symmetry_space_group_name_Hall 'F -4 2 3'
loop_
_atom_site_label
_atom_site_fract_x
_atom_site_fract_y
_atom_site_fract_z
K1 0.0000 0.0000 0.0000
La1 0.2500 0.2500 0.2500
Cl1 0.0000 0.0000 0.5000
```

Values from the calculation:
**Raw formation energy**: -0.06 eV/atom
**ρ**: 3293 kg/m3
**Distance to the lowest polymorph of the same formula**: 964.2 meV/atom
**Total magnetization**: 0.952 μB/atom


VASP calculation (SCAN) on a PBEsol-optimized structure of AlMoPt2.

```
data_AlMoPt2
_chemical_formula_sum 'Al1 Mo1 Pt2'
_cell_length_a 2.7533
_cell_length_b 2.7533
_cell_length_c 7.6568
_cell_angle_alpha 90.00
_cell_angle_beta 90.00
_cell_angle_gamma 90.00
_symmetry_space_group_name_H-M 'P 4/m m m'
_symmetry_Int_Tables_number 123
_symmetry_space_group_name_Hall '-P 4 2'
loop_
_atom_site_label
_atom_site_fract_x
_atom_site_fract_y
_atom_site_fract_z
Al1 0.0000 0.0000 0.0000
Mo1 0.0000 0.0000 0.5000
Pt1 0.5000 0.5000 0.2383
```

Values from the calculation:
**ρ**: 14679 kg/m3
**Formation energy from the elements**: -0.75 eV per atom
**Total magnetization**: 0.000 μB/atom


VASP calculation (SCAN) on a PBEsol-optimized structure of LuHg.

```
data_LuHg
_chemical_formula_sum 'Lu1 Hg1'
_cell_length_a 3.5822
_cell_length_b 3.5822
_cell_length_c 3.5822
_cell_angle_alpha 90.00
_cell_angle_beta 90.00
_cell_angle_gamma 90.00
_symmetry_space_group_name_H-M 'P m -3 m'
_symmetry_Int_Tables_number 221
_symmetry_space_group_name_Hall '-P 4 2 3'
loop_
_atom_site_label
_atom_site_fract_x
_atom_site_fract_y
_atom_site_fract_z
Lu1 0.0000 0.0000 0.0000
Hg1 0.5000 0.5000 0.5000
```

Values from the calculation:
**ρ**: 13567 kg/m3
**Formation energy from the elements**: -0.69 eV per atom
**Total magnetization**: 0.000 μB/atom


VASP calculation (SCAN) on a PBEsol-optimized structure of YZn5.

```
data_YZn5
_chemical_formula_sum 'Y6 Zn30'
_cell_length_a 8.7183
_cell_length_b 8.7183
_cell_length_c 8.9179
_cell_angle_alpha 90.00
_cell_angle_beta 90.00
_cell_angle_gamma 120.00
_symmetry_space_group_name_H-M 'P 63/m m c'
_symmetry_Int_Tables_number 194
_symmetry_space_group_name_Hall '-P 6c 2c'
loop_
_atom_site_label
_atom_site_fract_x
_atom_site_fract_y
_atom_site_fract_z
Y1 0.1866 0.3731 0.2500
Zn1 0.0000 0.0000 0.0000
Zn2 0.0000 0.5000 0.0000
Zn3 0.1362 0.5681 0.7500
Zn4 0.1618 0.3235 0.5916
Zn5 0.3333 0.6667 0.0165
```

Values from the calculation:
**ρ**: 7060 kg/m3
**Formation energy from the elements**: -0.37 eV per atom
**Total magnetization**: 0.000 μB/atom